(1)
! Re2Rh (PBE-GGA, relaxed); values from VASP
! - VASP energy (eV per atom) = -10.762
! - crystal system = tetragonal
! - theoretical density (g cm⁻³) = 17.88
! - formation enthalpy at 0 K (meV per atom) = -12.7
! - volume (Å³/atom) = 14.715
! - SG = No. 139
! - magnetization (μB/cell) = 0.0
&SYSTEM
  ibrav = 0, nat = 3, ntyp = 2
/
ATOMIC_SPECIES
Re 186.21 Re.upf
Rh 102.91 Rh.upf
CELL_PARAMETERS angstrom
-1.3791 1.3791 5.8023
1.3791 -1.3791 5.8023
1.3791 1.3791 -5.8023
ATOMIC_POSITIONS angstrom
Re 0.0000 0.0000 1.9562
Re 0.0000 0.0000 9.6485
Rh 0.0000 0.0000 5.8023

(2)
! BaAlFe4 (PBE-GGA, relaxed); values from VASP
! - VASP energy (eV per atom) = -6.144
! - crystal system = cubic
! - theoretical density (g cm⁻³) = 6.55
! - formation enthalpy at 0 K (meV per atom) = 442.3
! - volume (Å³/atom) = 16.378
! - SG = No. 216
! - magnetization (μB/cell) = 9.2
&SYSTEM
  ibrav = 0, nat = 6, ntyp = 3
/
ATOMIC_SPECIES
Ba 137.33 Ba.upf
Al 26.98 Al.upf
Fe 55.84 Fe.upf
CELL_PARAMETERS angstrom
0.0000 3.6626 3.6626
3.6626 0.0000 3.6626
3.6626 3.6626 0.0000
ATOMIC_POSITIONS angstrom
Ba 0.0000 0.0000 0.0000
Al 1.8313 1.8313 1.8313
Fe 4.5559 2.7694 2.7694
Fe 2.7694 4.5559 2.7694
Fe 2.7694 2.7694 4.5559
Fe 4.5559 4.5559 4.5559

(3)
! Tl2ReTe (PBE-GGA, relaxed); values from VASP
! - VASP energy (eV per atom) = -4.093
! - crystal system = monoclinic
! - theoretical density (g cm⁻³) = 12.19
! - volume (Å³/atom) = 24.602
! - SG = No. 12
! - magnetization (μB/cell) = 2.2
&SYSTEM
  ibrav = 0, nat = 4, ntyp = 3
/
ATOMIC_SPECIES
Tl 204.38 Tl.upf
Re 186.21 Re.upf
Te 127.60 Te.upf
CELL_PARAMETERS angstrom
2.9614 -5.7399 0.0000
2.9614 5.7399 0.0000
-1.9237 0.0000 2.8947
ATOMIC_POSITIONS angstrom
Tl 1.4807 2.8699 0.0000
Tl 1.4807 -2.8699 0.0000
Re -0.9619 0.0000 1.4473
Te 1.9996 0.0000 1.4473

(4)
! Ac4HgSeS2 (PBE-GGA, relaxed); values from VASP
! - VASP energy (eV per atom) = -5.092
! - crystal system = monoclinic
! - theoretical density (g cm⁻³) = 8.26
! - volume (Å³/atom) = 31.455
! - SG = No. 10
! - magnetization (μB/cell) = 0.0
&SYSTEM
  ibrav = 0, nat = 8, ntyp = 4
/
ATOMIC_SPECIES
Ac 227.00 Ac.upf
Hg 200.59 Hg.upf
Se 78.96 Se.upf
S 32.06 S.upf
CELL_PARAMETERS angstrom
7.7724 0.0000 0.0000
0.0000 4.3944 0.0000
-2.5393 0.0000 7.3677
ATOMIC_POSITIONS angstrom
Ac 1.2107 0.0000 1.7779
Ac -0.0708 2.1972 5.5174
Ac 5.3039 2.1972 1.8503
Ac 4.0224 0.0000 5.5897
Hg 2.6165 2.1972 3.6838
Se 3.8862 0.0000 0.0000
S -1.2696 0.0000 3.6838
S 0.0000 2.1972 0.0000

(5)
! YPW (PBE-GGA, relaxed); values from VASP
! - VASP energy (eV per atom) = -8.567
! - crystal system = hexagonal
! - theoretical density (g cm⁻³) = 8.42
! - formation enthalpy at 0 K (meV per atom) = -291.1
! - volume (Å³/atom) = 19.962
! - SG = No. 187
! - magnetization (μB/cell) = 0.0
&SYSTEM
  ibrav = 0, nat = 3, ntyp = 3
/
ATOMIC_SPECIES
Y 88.91 Y.upf
P 30.97 P.upf
W 183.84 W.upf
CELL_PARAMETERS angstrom
4.1479 0.0000 0.0000
-2.0740 3.5922 0.0000
0.0000 0.0000 4.0191
ATOMIC_POSITIONS angstrom
Y 0.0000 0.0000 0.0000
P 0.0000 2.3948 2.0095
W 2.0740 1.1974 2.0095

(6)
! SrYCuTe3 (PBE-GGA, relaxed); values from VASP
! - VASP energy (eV per atom) = -4.814
! - crystal system = monoclinic
! - theoretical density (g cm⁻³) = 5.50
! - volume (Å³/atom) = 31.329
! - SG = No. 11
! - magnetization (μB/cell) = 0.0
&SYSTEM
  ibrav = 0, nat = 12, ntyp = 4
/
ATOMIC_SPECIES
Sr 87.62 Sr.upf
Y 88.91 Y.upf
Cu 63.55 Cu.upf
Te 127.60 Te.upf
CELL_PARAMETERS angstrom
9.1416 0.0000 0.0000
0.0000 4.3507 0.0000
-2.3191 0.0000 9.4527
ATOMIC_POSITIONS angstrom
Sr 1.1221 1.0877 2.3297
Sr 5.7003 3.2630 7.1229
Y 1.0404 3.2630 7.9037
Y 5.7821 1.0877 1.5490
Cu -0.6551 1.0877 5.4667
Cu 7.4776 3.2630 3.9860
Te -1.1060 1.0877 8.1602
Te 0.8603 3.2630 4.8811
Te 3.5920 3.2630 1.5809
Te 3.2305 1.0877 7.8718
Te 5.9622 1.0877 4.5716
Te 7.9285 3.2630 1.2924

(7)
! Pr3SiPd2 (PBE-GGA, relaxed); values from VASP
! - VASP energy (eV per atom) = -5.693
! - crystal system = orthorhombic
! - theoretical density (g cm⁻³) = 7.11
! - volume (Å³/atom) = 25.815
! - SG = No. 62
! - magnetization (μB/cell) = 0.0
&SYSTEM
  ibrav = 0, nat = 24, ntyp = 3
/
ATOMIC_SPECIES
Pr 140.91 Pr.upf
Si 28.09 Si.upf
Pd 106.42 Pd.upf
CELL_PARAMETERS angstrom
12.0958 0.0000 0.0000
0.0000 4.1977 0.0000
0.0000 0.0000 12.2024
ATOMIC_POSITIONS angstrom
Pr 0.7799 1.0494 1.4820
Pr 1.4438 3.1483 6.7700
Pr 2.4092 1.0494 9.8387
Pr 3.6388 3.1483 3.7375
Pr 4.6041 1.0494 0.6688
Pr 5.2681 3.1483 7.5832
Pr 6.8278 1.0494 4.6192
Pr 7.4918 3.1483 11.5335
Pr 8.4571 1.0494 8.4648
Pr 9.6867 3.1483 2.3637
Pr 10.6520 1.0494 5.4323
Pr 11.3160 3.1483 10.7204
Si 1.4764 1.0494 4.4701
Si 4.5715 3.1483 10.5713
Si 7.5244 1.0494 1.6311
Si 10.6194 3.1483 7.7323
Pd 0.3247 3.1483 3.7926
Pd 2.2705 3.1483 11.9963
Pd 3.7774 1.0494 5.8951
Pd 5.7232 1.0494 9.8938
Pd 6.3726 3.1483 2.3086
Pd 8.3185 3.1483 6.3073
Pd 9.8253 1.0494 0.2061
Pd 11.7711 1.0494 8.4098

(8)
! NdSm6Y2Tm (PBE-GGA, relaxed); values from VASP
! - VASP energy (eV per atom) = -4.928
! - crystal system = monoclinic
! - theoretical density (g cm⁻³) = 6.88
! - formation enthalpy at 0 K (meV per atom) = 119.8
! - volume (Å³/atom) = 33.646
! - SG = No. 15
! - magnetization (μB/cell) = 0.0
&SYSTEM
  ibrav = 0, nat = 20, ntyp = 4
/
ATOMIC_SPECIES
Nd 144.24 Nd.upf
Sm 150.36 Sm.upf
Y 88.91 Y.upf
Tm 168.93 Tm.upf
CELL_PARAMETERS angstrom
4.6731 -7.5934 0.0000
4.6731 7.5934 0.0000
-0.9575 0.0000 9.4819
ATOMIC_POSITIONS angstrom
Nd 3.9549 7.1138 7.1114
Nd 4.4337 -7.1138 2.3705
Sm 1.9947 4.1971 6.5052
Sm 4.0493 4.8765 0.5418
Sm 4.8181 4.8765 4.1991
Sm 2.9414 1.7198 8.3848
Sm 5.9152 4.1971 7.7177
Sm 4.9684 1.7198 5.8381
Sm 3.4202 -1.7198 3.6438
Sm 2.4734 -4.1971 1.7642
Sm 5.4472 -1.7198 1.0971
Sm 3.5705 -4.8765 5.2828
Sm 4.3393 -4.8765 8.9401
Sm 6.3939 -4.1971 2.9767
Y 1.8443 0.7430 5.2148
Y 2.3231 -0.7430 0.4738
Y 6.0655 0.7430 9.0081
Y 6.5443 -0.7430 4.2671
Tm 4.4337 1.3442 2.3705
Tm 3.9549 -1.3442 7.1114

(9)
! CrRuRh3 (PBE-GGA, relaxed); values from VASP
! - VASP energy (eV per atom) = -7.002
! - crystal system = cubic
! - theoretical density (g cm⁻³) = 8.95
! - formation enthalpy at 0 K (meV per atom) = 1189.0
! - volume (Å³/atom) = 17.142
! - SG = No. 221
! - magnetization (μB/cell) = 3.0
&SYSTEM
  ibrav = 0, nat = 5, ntyp = 3
/
ATOMIC_SPECIES
Cr 52.00 Cr.upf
Ru 101.07 Ru.upf
Rh 102.91 Rh.upf
CELL_PARAMETERS angstrom
4.4091 0.0000 0.0000
0.0000 4.4091 0.0000
0.0000 0.0000 4.4091
ATOMIC_POSITIONS angstrom
Cr 0.0000 0.0000 0.0000
Ru 2.2045 2.2045 2.2045
Rh 0.0000 0.0000 2.2045
Rh 0.0000 2.2045 0.0000
Rh 2.2045 0.0000 0.0000

(10)
! Hf2NbTl (PBE-GGA, relaxed); values from VASP
! - VASP energy (eV per atom) = -8.018
! - crystal system = tetragonal
! - theoretical density (g cm⁻³) = 13.01
! - formation enthalpy at 0 K (meV per atom) = 67.6
! - volume (Å³/atom) = 20.874
! - SG = No. 123
! - magnetization (μB/cell) = 0.0
&SYSTEM
  ibrav = 0, nat = 4, ntyp = 3
/
ATOMIC_SPECIES
Hf 178.49 Hf.upf
Nb 92.91 Nb.upf
Tl 204.38 Tl.upf
CELL_PARAMETERS angstrom
4.6078 0.0000 0.0000
0.0000 4.6078 0.0000
0.0000 0.0000 3.9325
ATOMIC_POSITIONS angstrom
Hf 0.0000 2.3039 0.0000
Hf 2.3039 0.0000 0.0000
Nb 0.0000 0.0000 1.9662
Tl 2.3039 2.3039 1.9662

(11)
! Mn2GaH (PBE-GGA, relaxed); values from VASP
! - VASP energy (eV per atom) = -6.199
! - crystal system = monoclinic
! - theoretical density (g cm⁻³) = 7.06
! - volume (Å³/atom) = 10.623
! - SG = No. 5
! - magnetization (μB/cell) = 5.1
&SYSTEM
  ibrav = 0, nat = 4, ntyp = 3
/
ATOMIC_SPECIES
Mn 54.94 Mn.upf
Ga 69.72 Ga.upf
H 1.01 H.upf
CELL_PARAMETERS angstrom
1.9162 -1.9123 0.0000
1.9162 1.9123 0.0000
-1.8970 0.0000 5.7978
ATOMIC_POSITIONS angstrom
Mn 0.0021 0.0000 1.8038
Mn 1.9333 0.0000 3.9940
Ga 1.9162 -0.0007 0.0000
H 0.9677 -0.9502 2.8989

(12)
! ZrCu4S5 (PBE-GGA, relaxed); values from VASP
! - VASP energy (eV per atom) = -5.028
! - crystal system = tetragonal
! - theoretical density (g cm⁻³) = 4.93
! - volume (Å³/atom) = 17.025
! - SG = No. 79
! - magnetization (μB/cell) = 0.0
&SYSTEM
  ibrav = 0, nat = 10, ntyp = 3
/
ATOMIC_SPECIES
Zr 91.22 Zr.upf
Cu 63.55 Cu.upf
S 32.06 S.upf
CELL_PARAMETERS angstrom
-3.6961 3.6961 3.1156
3.6961 -3.6961 3.1156
3.6961 3.6961 -3.1156
ATOMIC_POSITIONS angstrom
Zr 0.0000 0.0000 0.0000
Cu 2.8928 1.3995 0.1808
Cu 2.2965 -0.8033 3.2964
Cu 1.3995 4.4993 0.1808
Cu 0.8033 2.2965 3.2964
S 2.2430 -0.7817 0.9256
S 5.1491 0.7817 0.9256
S 0.7817 2.2430 0.9256
S 0.0000 0.0000 3.7582
S -0.7817 5.1491 0.9256

The evaluated D(E_F) for the records listed, in turn: 0.67, 0.82, 0.72, 0.42, 0.68, 0.01, 0.97, 1.47, 1.23, 1.52, 0.64, 0.34 states/eV/atom.